1.
TlPb2 | SCAN | PBEsol geometry

Structure (extended XYZ):
```
6
Lattice="3.428 0.000 0.000 0.043 6.870 0.000 1.705 1.678 7.420" Properties=species:S:1:pos:R:3 pbc="T T T"
Tl 0.869 2.578 1.236
Tl 4.306 5.970 6.183
Pb 0.893 6.005 1.242
Pb 2.566 0.839 3.710
Pb 2.588 4.274 3.710
Pb 4.282 2.543 6.178
```

Distance to the lowest polymorph of the same formula ... 5 meV/atom
Theoretical density ... 11760 kg/m³
E_form ... -0.0057 eV/atom

2.
Tl5Pb | SCAN | PBEsol geometry

Structure (extended XYZ):
```
6
Lattice="3.421 0.000 0.000 0.000 3.421 0.000 0.000 0.000 14.498" Properties=species:S:1:pos:R:3 pbc="T T T"
Tl 0.000 0.000 0.000
Tl 0.000 0.000 4.819
Tl 0.000 0.000 9.679
Tl 1.711 1.711 2.411
Tl 1.711 1.711 12.087
Pb 1.711 1.711 7.249
```

Distance to the lowest polymorph of the same formula ... 0 meV/atom
Theoretical density ... 12026 kg/m³
E_form ... -0.0019 eV/atom

3.
Tl2Pb | SCAN | PBEsol geometry

Structure (extended XYZ):
```
3
Lattice="-1.713 1.713 7.315 1.713 -1.713 7.315 1.713 1.713 -7.315" Properties=species:S:1:pos:R:3 pbc="T T T"
Tl 0.000 0.000 2.444
Tl 0.000 0.000 12.186
Pb 0.000 0.000 7.315
```

Distance to the lowest polymorph of the same formula ... 0 meV/atom
Theoretical density ... 11913 kg/m³
E_form ... -0.0100 eV/atom

4.
TlPb3 | SCAN | PBEsol geometry

Structure (extended XYZ):
```
4
Lattice="3.500 0.000 0.000 0.000 4.785 0.000 -0.023 0.000 7.002" Properties=species:S:1:pos:R:3 pbc="T T T"
Tl 0.000 0.000 0.000
Pb -0.012 0.000 3.501
Pb 1.745 2.393 1.752
Pb 1.732 2.393 5.251
```

Theoretical density ... 11694 kg/m³
E_form ... -0.0050 eV/atom

5.
Tl2Pb | SCAN | PBEsol geometry

Structure (extended XYZ):
```
6
Lattice="7.248 -1.752 0.000 7.248 1.752 0.000 -1.679 0.000 6.772" Properties=species:S:1:pos:R:3 pbc="T T T"
Tl 0.000 0.000 0.000
Tl -0.839 0.000 3.386
Tl 3.734 0.000 4.498
Tl 9.083 0.000 2.273
Pb 4.528 0.000 1.125
Pb 8.290 0.000 5.647
```

Distance to the lowest polymorph of the same formula ... 5 meV/atom
Theoretical density ... 11897 kg/m³
E_form ... -0.0050 eV/atom

6.
Tl24Pb5 | SCAN | PBEsol geometry

Structure (extended XYZ):
```
29
Lattice="-5.924 5.924 5.924 5.924 -5.924 5.924 5.924 5.924 -5.924" Properties=species:S:1:pos:R:3 pbc="T T T"
Tl 3.351 1.102 -1.102
Tl 3.351 -1.102 1.102
Tl 6.476 1.651 -1.651
Tl 6.476 -1.651 1.651
Tl 8.497 1.102 1.102
Tl 1.102 3.351 -1.102
Tl 1.102 -1.102 3.351
Tl 5.372 1.651 1.651
Tl 4.274 4.274 -0.552
Tl 4.274 -0.552 4.274
Tl -1.102 3.351 1.102
Tl -1.102 1.102 3.351
Tl 1.651 6.476 -1.651
Tl 1.651 -1.651 6.476
Tl 1.651 5.372 1.651
Tl 1.651 1.651 5.372
Tl 4.822 4.822 2.573
Tl 4.822 2.573 4.822
Tl -1.651 6.476 1.651
Tl -1.651 1.651 6.476
Tl -0.552 4.274 4.274
Tl 1.102 8.497 1.102
Tl 1.102 1.102 8.497
Tl 2.573 4.822 4.822
Pb 0.000 0.000 0.000
Pb 3.924 3.924 -3.924
Pb 3.924 -3.924 3.924
Pb 2.000 2.000 2.000
Pb -3.924 3.924 3.924
```

Theoretical density ... 11863 kg/m³
E_form ... 0.0248 eV/atom

7.
TlPb3 | SCAN | PBEsol geometry

Structure (extended XYZ):
```
4
Lattice="-1.714 5.703 2.991 1.714 -5.703 2.991 1.714 5.703 -2.991" Properties=species:S:1:pos:R:3 pbc="T T T"
Tl 0.000 0.000 0.000
Pb 1.714 2.894 -0.972
Pb 0.000 5.703 0.026
Pb 0.000 2.809 2.019
```

Theoretical density ... 11731 kg/m³
E_form ... 0.0169 eV/atom

8.
Tl4Pb | SCAN | PBEsol geometry

Structure (extended XYZ):
```
5
Lattice="-3.715 3.715 2.564 3.715 -3.715 2.564 3.715 3.715 -2.564" Properties=species:S:1:pos:R:3 pbc="T T T"
Tl 5.204 0.740 0.000
Tl 0.740 2.226 0.000
Tl 2.975 1.489 2.564
Tl -1.489 2.975 2.564
Pb 0.000 0.000 2.564
```

Theoretical density ... 12020 kg/m³
E_form ... 0.0032 eV/atom

9.
TlPb3 | SCAN | PBEsol geometry

Structure (extended XYZ):
```
4
Lattice="5.780 -1.714 0.000 5.780 1.714 0.000 -0.949 0.000 5.912" Properties=species:S:1:pos:R:3 pbc="T T T"
Tl 0.000 0.000 0.000
Pb 2.164 0.000 4.434
Pb 5.306 0.000 2.956
Pb 8.448 0.000 1.478
```

Theoretical density ... 11706 kg/m³
E_form ... -0.0042 eV/atom

10.
TlPb2 | SCAN | PBEsol geometry

Structure (extended XYZ):
```
12
Lattice="6.918 0.000 0.000 0.000 4.868 0.000 0.000 0.000 10.398" Properties=species:S:1:pos:R:3 pbc="T T T"
Tl 0.835 1.217 0.857
Tl 2.624 3.651 6.056
Tl 4.294 1.217 4.342
Tl 6.083 3.651 9.541
Pb 0.864 1.217 4.324
Pb 0.868 1.217 7.746
Pb 2.591 3.651 2.547
Pb 2.595 3.651 9.523
Pb 4.323 1.217 0.875
Pb 4.327 1.217 7.851
Pb 6.050 3.651 2.652
Pb 6.054 3.651 6.073
```

Distance to the lowest polymorph of the same formula ... 3 meV/atom
Theoretical density ... 11738 kg/m³
E_form ... -0.0078 eV/atom

11.
Tl5Pb | SCAN | PBEsol geometry

Structure (extended XYZ):
```
6
Lattice="2.474 -7.019 0.000 2.474 7.019 0.000 0.000 0.000 4.872" Properties=species:S:1:pos:R:3 pbc="T T T"
Tl 0.000 0.000 0.000
Tl 2.474 4.687 2.436
Tl 2.474 2.344 0.000
Tl 2.474 -2.344 0.000
Tl 2.474 -4.687 2.436
Pb 2.474 0.000 2.436
```

Distance to the lowest polymorph of the same formula ... 6 meV/atom
Theoretical density ... 12061 kg/m³
E_form ... 0.0042 eV/atom

12.
TlPb3 | SCAN | PBEsol geometry

Structure (extended XYZ):
```
4
Lattice="2.489 -2.493 0.000 2.489 2.493 0.000 0.000 0.000 9.426" Properties=species:S:1:pos:R:3 pbc="T T T"
Tl 0.000 0.000 0.000
Pb 0.000 0.000 4.713
Pb 2.489 0.000 2.359
Pb 2.489 0.000 7.067
```

Theoretical density ... 11724 kg/m³
E_form ... 0.0002 eV/atom

13.
Tl2Pb | SCAN | PBEsol geometry

Structure (extended XYZ):
```
3
Lattice="-1.704 2.451 5.116 1.704 -2.451 5.116 1.704 2.451 -5.116" Properties=species:S:1:pos:R:3 pbc="T T T"
Tl 0.000 0.000 1.702
Tl 0.000 0.000 8.529
Pb 0.000 0.000 5.116
```

Distance to the lowest polymorph of the same formula ... 5 meV/atom
Theoretical density ... 11964 kg/m³
E_form ... -0.0050 eV/atom

14.
TlPb3 | SCAN | PBEsol geometry

Structure (extended XYZ):
```
4
Lattice="3.413 0.000 0.000 -1.706 2.955 0.000 0.000 0.000 11.585" Properties=species:S:1:pos:R:3 pbc="T T T"
Tl 0.000 0.000 0.000
Pb 0.000 0.000 5.792
Pb 1.706 0.985 2.888
Pb 1.706 0.985 8.697
```

Theoretical density ... 11739 kg/m³
E_form ... 0.0231 eV/atom

15.
Tl2Pb | SCAN | PBEsol geometry

Structure (extended XYZ):
```
3
Lattice="5.440 0.000 0.000 -2.720 4.711 0.000 0.000 0.000 3.360" Properties=species:S:1:pos:R:3 pbc="T T T"
Tl 0.000 3.141 0.522
Tl 2.720 1.570 2.838
Pb 0.000 0.000 1.680
```

Distance to the lowest polymorph of the same formula ... 18 meV/atom
Theoretical density ... 11878 kg/m³
E_form ... 0.0080 eV/atom

16.
TlPb5 | SCAN | PBEsol geometry

Structure (extended XYZ):
```
6
Lattice="3.447 0.000 0.000 -1.638 6.430 0.000 -0.059 -2.341 7.937" Properties=species:S:1:pos:R:3 pbc="T T T"
Tl 0.000 0.000 0.000
Pb -0.044 -0.740 4.825
Pb 0.021 2.719 5.272
Pb 0.026 4.319 2.185
Pb 1.726 1.344 2.655
Pb 1.687 0.640 7.465
```

Distance to the lowest polymorph of the same formula ... 20 meV/atom
Theoretical density ... 11709 kg/m³
E_form ... 0.0169 eV/atom

17.
TlPb3 | SCAN | PBEsol geometry

Structure (extended XYZ):
```
4
Lattice="4.885 0.000 0.000 0.000 4.885 0.000 0.000 0.000 4.885" Properties=species:S:1:pos:R:3 pbc="T T T"
Tl 0.000 0.000 0.000
Pb 0.000 2.443 2.443
Pb 2.443 0.000 2.443
Pb 2.443 2.443 0.000
```

Theoretical density ... 11765 kg/m³
E_form ... 0.0012 eV/atom

18.
Tl6Pb7 | SCAN | PBEsol geometry

Structure (extended XYZ):
```
13
Lattice="3.246 1.874 10.928 -3.246 1.874 10.928 0.000 -3.748 10.928" Properties=species:S:1:pos:R:3 pbc="T T T"
Tl 0.000 0.000 1.567
Tl 0.000 0.000 4.960
Tl 0.000 0.000 10.961
Tl 0.000 0.000 21.824
Tl 0.000 0.000 27.825
Tl 0.000 0.000 31.218
Pb -1.641 -0.948 13.777
Pb 0.000 -1.895 19.008
Pb -1.641 0.948 19.008
Pb 0.000 0.000 16.392
Pb 1.641 -0.948 13.777
Pb 0.000 1.895 13.777
Pb 1.641 0.948 19.008
```

Theoretical density ... 11146 kg/m³
E_form ... 0.0254 eV/atom

19.
TlPb2 | SCAN | PBEsol geometry

Structure (extended XYZ):
```
6
Lattice="1.719 -8.976 0.000 1.719 8.976 0.000 0.000 0.000 5.652" Properties=species:S:1:pos:R:3 pbc="T T T"
Tl 1.719 6.961 4.239
Tl 1.719 -6.961 1.413
Pb 1.719 5.041 1.413
Pb 1.719 0.948 4.239
Pb 1.719 -0.948 1.413
Pb 1.719 -5.041 4.239
```

Distance to the lowest polymorph of the same formula ... 27 meV/atom
Theoretical density ... 11779 kg/m³
E_form ... 0.0161 eV/atom

20.
TlPb2 | SCAN | PBEsol geometry

Structure (extended XYZ):
```
3
Lattice="-1.753 2.388 5.232 1.753 -2.388 5.232 1.753 2.388 -5.232" Properties=species:S:1:pos:R:3 pbc="T T T"
Tl 0.000 0.000 0.000
Pb 0.000 0.000 3.472
Pb 0.000 0.000 6.992
```

Distance to the lowest polymorph of the same formula ... 4 meV/atom
Theoretical density ... 11728 kg/m³
E_form ... -0.0069 eV/atom

21.
TlPb2 | SCAN | PBEsol geometry

Structure (extended XYZ):
```
6
Lattice="5.517 0.000 0.000 -2.759 4.778 0.000 0.000 0.000 6.645" Properties=species:S:1:pos:R:3 pbc="T T T"
Tl 0.000 3.185 1.661
Tl 2.759 1.593 4.984
Pb 0.000 0.000 0.000
Pb 0.000 0.000 3.323
Pb 0.000 3.185 4.984
Pb 2.759 1.593 1.661
```

Distance to the lowest polymorph of the same formula ... 68 meV/atom
Theoretical density ... 11732 kg/m³
E_form ... 0.0574 eV/atom

22.
Tl2Pb | SCAN | PBEsol geometry

Structure (extended XYZ):
```
6
Lattice="2.409 -7.248 0.000 2.409 7.248 0.000 0.000 0.000 4.903" Properties=species:S:1:pos:R:3 pbc="T T T"
Tl 2.409 6.029 3.677
Tl 2.409 3.635 1.226
Tl 2.409 -3.635 3.677
Tl 2.409 -6.029 1.226
Pb 2.409 1.189 3.677
Pb 2.409 -1.189 1.226
```

Distance to the lowest polymorph of the same formula ... 8 meV/atom
Theoretical density ... 11948 kg/m³
E_form ... -0.0020 eV/atom

23.
TlPb3 | SCAN | PBEsol geometry

Structure (extended XYZ):
```
4
Lattice="5.502 3.177 1.114 -5.502 3.177 1.114 0.000 -6.353 1.114" Properties=species:S:1:pos:R:3 pbc="T T T"
Tl 0.000 0.000 0.000
Pb -2.751 -1.588 1.114
Pb -2.751 1.588 2.229
Pb 0.000 3.177 1.114
```

Theoretical density ... 11736 kg/m³
E_form ... 0.0345 eV/atom

24.
TlPb2 | SCAN | PBEsol geometry

Structure (extended XYZ):
```
3
Lattice="5.547 0.000 0.000 -2.774 4.804 0.000 0.000 0.000 3.307" Properties=species:S:1:pos:R:3 pbc="T T T"
Tl 0.000 0.000 0.000
Pb 0.000 3.203 1.654
Pb 2.774 1.601 1.654
```

Distance to the lowest polymorph of the same formula ... 12 meV/atom
Theoretical density ... 11659 kg/m³
E_form ... 0.0012 eV/atom

25.
Tl2Pb | SCAN | PBEsol geometry

Structure (extended XYZ):
```
6
Lattice="5.528 0.000 0.000 -2.764 4.788 0.000 0.000 0.000 6.518" Properties=species:S:1:pos:R:3 pbc="T T T"
Tl 0.000 0.000 0.000
Tl 0.000 0.000 3.259
Tl 0.000 3.192 1.629
Tl 2.764 1.596 4.888
Pb 0.000 3.192 4.888
Pb 2.764 1.596 1.629
```

Distance to the lowest polymorph of the same formula ... 43 meV/atom
Theoretical density ... 11859 kg/m³
E_form ... 0.0332 eV/atom

26.
Tl5Pb | SCAN | PBEsol geometry

Structure (extended XYZ):
```
6
Lattice="6.265 -1.711 0.000 6.265 1.711 0.000 -1.838 0.000 7.971" Properties=species:S:1:pos:R:3 pbc="T T T"
Tl 0.000 0.000 0.000
Tl -0.451 0.000 4.907
Tl 2.910 0.000 5.309
Tl 4.340 0.000 2.236
Tl 7.331 0.000 7.557
Pb 7.702 0.000 2.650
```

Distance to the lowest polymorph of the same formula ... 5 meV/atom
Theoretical density ... 11943 kg/m³
E_form ... 0.0035 eV/atom

27.
TlPb3 | SCAN | PBEsol geometry

Structure (extended XYZ):
```
4
Lattice="0.000 3.885 3.885 3.885 0.000 3.885 3.885 3.885 0.000" Properties=species:S:1:pos:R:3 pbc="T T T"
Tl 0.000 0.000 0.000
Pb 1.942 1.942 1.942
Pb 3.885 3.885 3.885
Pb 5.827 5.827 5.827
```

Theoretical density ... 11697 kg/m³
E_form ... 0.0272 eV/atom